[1]
First-principles (PBE) data for a relaxed ScSe2 crystal, as listed in the Alexandria database.

Structure (POSCAR):
```
ScSe2
1.0
-3.0680 3.0680 3.3300
3.0680 -3.0680 3.3300
3.0680 3.0680 -3.3300
Sc Se
2 4
Direct
0.2500 0.2500 0.0000 Sc
0.7500 0.7500 0.0000 Sc
0.1568 0.6568 0.8136 Se
0.3432 0.1568 0.5000 Se
0.6568 0.8432 0.5000 Se
0.8432 0.3432 0.1864 Se
```

Values from the calculation:
electronic total energy = -5.59 eV/atom
raw formation energy = -1156 meV/atom
size of the total moment = 0.000 μB/f.u.
Fermi-level density of states = 3.705 states/eV per cell
SG = I4/mcm

[2]
First-principles (PBE) data for a relaxed ScSe2 crystal, as listed in the Alexandria database.

Structure (POSCAR):
```
ScSe2
1.0
7.1768 -1.9485 0.0000
7.1768 1.9485 0.0000
-0.9276 0.0000 5.3008
Sc Se
2 4
Direct
0.1766 0.1766 0.2164 Sc
0.8234 0.8234 0.7836 Sc
0.1863 0.1863 0.7217 Se
0.4585 0.4585 0.7859 Se
0.5415 0.5415 0.2142 Se
0.8137 0.8137 0.2783 Se
```

Values from the calculation:
electronic total energy = -5.80 eV/atom
raw formation energy = -1367 meV/atom
size of the total moment = 0.000 μB/f.u.
Fermi-level density of states = 0.169 states/eV per cell
SG = C2/m

[3]
First-principles (PBE) data for a relaxed Sc5Se crystal, as listed in the Alexandria database.

Structure (POSCAR):
```
Sc5Se
1.0
5.7881 0.0000 0.0000
-2.8940 5.0126 0.0000
0.0000 0.0000 5.5293
Sc Se
5 1
Direct
0.0000 0.5000 0.0000 Sc
0.3333 0.6667 0.5000 Sc
0.5000 0.0000 0.0000 Sc
0.5000 0.5000 0.0000 Sc
0.6667 0.3333 0.5000 Sc
0.0000 0.0000 0.5000 Se
```

Values from the calculation:
electronic total energy = -5.42 eV/atom
raw formation energy = 434 meV/atom
polymorph energy (0 for the lowest one) = 864 meV per atom
size of the total moment = 3.087 μB/f.u.
Fermi-level density of states = 10.611 states/eV per cell
SG = P6/mmm

[4]
First-principles (PBE) data for a relaxed ScSe crystal, as listed in the Alexandria database.

Structure (POSCAR):
```
ScSe
1.0
3.8190 0.0000 0.0000
0.0000 5.4561 3.4160
0.0000 -5.4561 3.4160
Sc Se
3 3
Direct
0.0000 0.0000 0.0000 Sc
0.5000 0.2126 0.6505 Sc
0.5000 0.6505 0.2126 Sc
0.0000 0.5346 0.8849 Se
0.0000 0.8849 0.5346 Se
0.5000 0.2717 0.2717 Se
```

Values from the calculation:
electronic total energy = -6.26 eV/atom
raw formation energy = -1349 meV/atom
size of the total moment = 0.236 μB/f.u.
Fermi-level density of states = 5.811 states/eV per cell
SG = Amm2

[5]
First-principles (PBE) data for a relaxed ScSe crystal, as listed in the Alexandria database.

Structure (POSCAR):
```
ScSe
1.0
4.7595 0.0000 0.0000
0.0000 4.7595 0.0000
0.0000 0.0000 4.6133
Sc Se
2 2
Direct
0.2500 0.7500 0.0000 Sc
0.7500 0.2500 0.0000 Sc
0.2500 0.2500 0.2538 Se
0.7500 0.7500 0.7462 Se
```

Values from the calculation:
electronic total energy = -6.17 eV/atom
raw formation energy = -1266 meV/atom
size of the total moment = 0.000 μB/f.u.
Fermi-level density of states = 2.715 states/eV per cell
SG = P4/nmm

[6]
First-principles (PBE) data for a relaxed ScSe crystal, as listed in the Alexandria database.

Structure (POSCAR):
```
ScSe
1.0
4.0360 0.0000 0.0000
-2.0180 3.4953 0.0000
0.0000 0.0000 7.7385
Sc Se
2 2
Direct
0.3333 0.6667 0.0000 Sc
0.6667 0.3333 0.5000 Sc
0.3333 0.6667 0.3382 Se
0.6667 0.3333 0.8382 Se
```

Values from the calculation:
electronic total energy = -6.12 eV/atom
raw formation energy = -1213 meV/atom
size of the total moment = 0.793 μB/f.u.
Fermi-level density of states = 2.690 states/eV per cell
SG = P6_3mc

[7]
First-principles (PBE) data for a relaxed ScSe crystal, as listed in the Alexandria database.

Structure (POSCAR):
```
ScSe
1.0
1.9593 1.1312 9.2528
-1.9593 1.1312 9.2528
0.0000 -2.2624 9.2528
Sc Se
2 2
Direct
0.1118 0.1118 0.1118 Sc
0.8882 0.8882 0.8882 Sc
0.4003 0.4003 0.4003 Se
0.5997 0.5997 0.5997 Se
```

Values from the calculation:
electronic total energy = -5.96 eV/atom
raw formation energy = -1051 meV/atom
size of the total moment = 0.599 μB/f.u.
Fermi-level density of states = 2.383 states/eV per cell
SG = R-3m

[8]
First-principles (PBE) data for a relaxed Sc4Se crystal, as listed in the Alexandria database.

Structure (POSCAR):
```
Sc4Se
1.0
-4.0733 4.0733 1.6970
4.0733 -4.0733 1.6970
4.0733 4.0733 -1.6970
Sc Se
4 1
Direct
0.0757 0.7242 0.7998 Sc
0.2758 0.0757 0.3515 Sc
0.7242 0.9243 0.6485 Sc
0.9243 0.2758 0.2002 Sc
0.5000 0.5000 0.0000 Se
```

Values from the calculation:
electronic total energy = -6.26 eV/atom
raw formation energy = -500 meV/atom
polymorph energy (0 for the lowest one) = 0 meV per atom
size of the total moment = 0.000 μB/f.u.
Fermi-level density of states = 5.016 states/eV per cell
SG = I4/m

[9]
First-principles (PBE) data for a relaxed Sc5Se6 crystal, as listed in the Alexandria database.

Structure (POSCAR):
```
Sc5Se6
1.0
3.3391 -5.7607 0.0000
3.3391 5.7607 0.0000
-2.2303 0.0000 6.2763
Sc Se
5 6
Direct
0.0000 0.0000 0.0000 Sc
0.1648 0.8352 0.5000 Sc
0.3338 0.6662 0.0000 Sc
0.6662 0.3338 0.0000 Sc
0.8352 0.1648 0.5000 Sc
0.0883 0.4180 0.2525 Se
0.2539 0.2539 0.7457 Se
0.4180 0.0883 0.2525 Se
0.5820 0.9117 0.7475 Se
0.7461 0.7461 0.2543 Se
0.9117 0.5820 0.7475 Se
```

Values from the calculation:
electronic total energy = -6.49 eV/atom
raw formation energy = -1708 meV/atom
size of the total moment = 0.000 μB/f.u.
Fermi-level density of states = 5.669 states/eV per cell
SG = C2/m

[10]
First-principles (PBE) data for a relaxed ScSe2 crystal, as listed in the Alexandria database.

Structure (POSCAR):
```
ScSe2
1.0
1.7637 -7.4014 0.0000
1.7637 7.4014 0.0000
0.0000 0.0000 4.6637
Sc Se
2 4
Direct
0.1010 0.8990 0.7500 Sc
0.8990 0.1010 0.2500 Sc
0.2521 0.7479 0.2500 Se
0.4387 0.5613 0.7500 Se
0.5613 0.4387 0.2500 Se
0.7479 0.2521 0.7500 Se
```

Values from the calculation:
electronic total energy = -5.45 eV/atom
raw formation energy = -1015 meV/atom
size of the total moment = 0.000 μB/f.u.
Fermi-level density of states = 2.325 states/eV per cell
SG = Cmcm

[11]
First-principles (PBE) data for a relaxed ScSe2 crystal, as listed in the Alexandria database.

Structure (POSCAR):
```
ScSe2
1.0
1.9141 -6.4262 0.0000
1.9141 6.4262 0.0000
-0.0208 0.0000 5.3072
Sc Se
2 4
Direct
0.1378 0.8622 0.7500 Sc
0.8622 0.1378 0.2500 Sc
0.2169 0.7831 0.2500 Se
0.5000 0.5000 0.0000 Se
0.5000 0.5000 0.5000 Se
0.7831 0.2169 0.7500 Se
```

Values from the calculation:
electronic total energy = -5.75 eV/atom
raw formation energy = -1319 meV/atom
size of the total moment = 0.000 μB/f.u.
Fermi-level density of states = 1.232 states/eV per cell
SG = C2/c

[12]
First-principles (PBE) data for a relaxed Sc5Se crystal, as listed in the Alexandria database.

Structure (POSCAR):
```
Sc5Se
1.0
5.3488 -1.7104 0.0000
5.3488 1.7104 0.0000
-1.5845 0.0000 7.6467
Sc Se
5 1
Direct
0.0000 0.0000 0.0000 Sc
0.0535 0.0535 0.4181 Sc
0.3020 0.3020 0.1756 Sc
0.4049 0.4049 0.6684 Sc
0.6935 0.6935 0.7982 Sc
0.7636 0.7636 0.4425 Se
```

Values from the calculation:
electronic total energy = -6.29 eV/atom
raw formation energy = -430 meV/atom
polymorph energy (0 for the lowest one) = 0 meV per atom
size of the total moment = 0.000 μB/f.u.
Fermi-level density of states = 9.141 states/eV per cell
SG = Cm

[13]
First-principles (PBE) data for a relaxed ScSe crystal, as listed in the Alexandria database.

Structure (POSCAR):
```
ScSe
1.0
5.0889 -1.7915 0.0000
5.0889 1.7915 0.0000
-2.4922 0.0000 6.6615
Sc Se
3 3
Direct
0.0000 0.0000 0.0000 Sc
0.1056 0.1056 0.6106 Sc
0.3213 0.3213 0.2745 Sc
0.4072 0.4072 0.6732 Se
0.6058 0.6058 0.3174 Se
0.7288 0.7288 0.9495 Se
```

Values from the calculation:
electronic total energy = -6.34 eV/atom
raw formation energy = -1436 meV/atom
size of the total moment = 0.001 μB/f.u.
Fermi-level density of states = 4.084 states/eV per cell
SG = Cm

[14]
First-principles (PBE) data for a relaxed ScSe crystal, as listed in the Alexandria database.

Structure (POSCAR):
```
ScSe
1.0
3.9366 0.0000 0.0000
0.0000 12.9577 0.0000
0.0000 0.0000 6.2595
Sc Se
6 6
Direct
0.2500 0.1209 0.0134 Sc
0.2500 0.3791 0.0134 Sc
0.2500 0.7500 0.3590 Sc
0.7500 0.2500 0.6410 Sc
0.7500 0.6209 0.9866 Sc
0.7500 0.8791 0.9866 Sc
0.2500 0.2500 0.3434 Se
0.2500 0.5544 0.2372 Se
0.2500 0.9456 0.2372 Se
0.7500 0.0544 0.7628 Se
0.7500 0.4456 0.7628 Se
0.7500 0.7500 0.6566 Se
```

Values from the calculation:
electronic total energy = -6.27 eV/atom
raw formation energy = -1363 meV/atom
size of the total moment = 0.000 μB/f.u.
Fermi-level density of states = 6.491 states/eV per cell
SG = Pmmn

[15]
First-principles (PBE) data for a relaxed Sc2Se3 crystal, as listed in the Alexandria database.

Structure (POSCAR):
```
Sc2Se3
1.0
0.0000 5.4544 11.5662
3.8745 0.0000 11.5662
3.8745 5.4544 0.0000
Sc Se
8 12
Direct
0.0421 0.0421 0.2079 Sc
0.1259 0.1259 0.6241 Sc
0.2079 0.2079 0.0421 Sc
0.3759 0.3759 0.8741 Sc
0.6241 0.6241 0.1259 Sc
0.7921 0.7921 0.9579 Sc
0.8741 0.8741 0.3759 Sc
0.9579 0.9579 0.7921 Sc
0.0453 0.5410 0.2004 Se
0.1217 0.6283 0.6283 Se
0.2004 0.7133 0.0453 Se
0.2867 0.7996 0.4590 Se
0.3717 0.8783 0.8783 Se
0.4590 0.9547 0.2867 Se
0.5410 0.0453 0.7133 Se
0.6283 0.1217 0.1217 Se
0.7133 0.2004 0.5410 Se
0.7996 0.2867 0.9547 Se
0.8783 0.3717 0.3717 Se
0.9547 0.4590 0.7996 Se
```

Values from the calculation:
electronic total energy = -6.34 eV/atom
raw formation energy = -1714 meV/atom
size of the total moment = 0.000 μB/f.u.
SG = Fddd

[16]
First-principles (PBE) data for a relaxed ScSe2 crystal, as listed in the Alexandria database.

Structure (POSCAR):
```
ScSe2
1.0
3.9441 0.0000 0.0000
-1.9720 3.4157 0.0000
0.0000 0.0000 5.7696
Sc Se
1 2
Direct
0.0000 0.0000 0.0000 Sc
0.6667 0.3333 0.2568 Se
0.6667 0.3333 0.7432 Se
```

Values from the calculation:
electronic total energy = -5.72 eV/atom
raw formation energy = -1290 meV/atom
size of the total moment = 0.000 μB/f.u.
Fermi-level density of states = 1.659 states/eV per cell
SG = P-6m2

[17]
First-principles (PBE) data for a relaxed ScSe4 crystal, as listed in the Alexandria database.

Structure (POSCAR):
```
ScSe4
1.0
-3.6667 3.6667 2.3557
3.6667 -3.6667 2.3557
3.6667 3.6667 -2.3557
Sc Se
1 4
Direct
0.0000 0.0000 0.0000 Sc
0.2077 0.3062 0.5139 Se
0.3062 0.7923 0.0985 Se
0.6938 0.2077 0.9015 Se
0.7923 0.6938 0.4861 Se
```

Values from the calculation:
electronic total energy = -4.53 eV/atom
raw formation energy = -472 meV/atom
polymorph energy (0 for the lowest one) = 0 meV per atom
size of the total moment = 0.000 μB/f.u.
Fermi-level density of states = 3.158 states/eV per cell
SG = I4/m

[18]
First-principles (PBE) data for a relaxed Sc3Se5 crystal, as listed in the Alexandria database.

Structure (POSCAR):
```
Sc3Se5
1.0
3.6194 -4.2808 0.0000
3.6194 4.2808 0.0000
0.0000 0.0000 5.2184
Sc Se
3 5
Direct
0.0000 0.0000 0.0000 Sc
0.2910 0.7090 0.5000 Sc
0.7090 0.2910 0.5000 Sc
0.0000 0.5000 0.0000 Se
0.2053 0.2053 0.5000 Se
0.5000 0.0000 0.0000 Se
0.5000 0.5000 0.0000 Se
0.7947 0.7947 0.5000 Se
```

Values from the calculation:
electronic total energy = -5.62 eV/atom
raw formation energy = -1064 meV/atom
polymorph energy (0 for the lowest one) = 283 meV per atom
size of the total moment = 0.000 μB/f.u.
Fermi-level density of states = 5.023 states/eV per cell
SG = Cmmm

[19]
First-principles (PBE) data for a relaxed Sc3Se5 crystal, as listed in the Alexandria database.

Structure (POSCAR):
```
Sc3Se5
1.0
0.0000 7.4548 3.3204
7.0592 0.0000 3.3204
7.0592 7.4548 0.0000
Sc Se
6 10
Direct
0.1188 0.1188 0.3812 Sc
0.1485 0.8515 0.1485 Sc
0.3412 0.6459 0.6588 Sc
0.6188 0.6188 0.8812 Sc
0.6459 0.3412 0.3541 Sc
0.8515 0.1485 0.8515 Sc
0.0862 0.6658 0.5396 Se
0.1692 0.5650 0.0473 Se
0.2223 0.2223 0.7777 Se
0.2916 0.4604 0.3342 Se
0.4604 0.2916 0.9138 Se
0.5650 0.1692 0.2185 Se
0.6658 0.0862 0.7084 Se
0.7360 0.7360 0.2640 Se
0.7815 0.9527 0.4350 Se
0.9527 0.7815 0.8308 Se
```

Values from the calculation:
electronic total energy = -5.90 eV/atom
raw formation energy = -1347 meV/atom
polymorph energy (0 for the lowest one) = 0 meV per atom
size of the total moment = 0.000 μB/f.u.
Fermi-level density of states = 6.773 states/eV per cell
SG = Fmm2

[20]
First-principles (PBE) data for a relaxed ScSe2 crystal, as listed in the Alexandria database.

Structure (POSCAR):
```
ScSe2
1.0
-1.8716 2.6912 6.4445
1.8716 -2.6912 6.4445
1.8716 2.6912 -6.4445
Sc Se
2 4
Direct
0.1375 0.1375 0.0000 Sc
0.8625 0.8625 0.0000 Sc
0.2479 0.5000 0.7479 Se
0.2858 0.7858 0.5000 Se
0.7142 0.2142 0.5000 Se
0.7521 0.5000 0.2521 Se
```

Values from the calculation:
electronic total energy = -5.76 eV/atom
raw formation energy = -1323 meV/atom
size of the total moment = 0.000 μB/f.u.
Fermi-level density of states = 3.844 states/eV per cell
SG = Immm